# Tc2OsO8 | Alexandria via LeMat-Bulk | PBE | relaxed
# ΔE to the lowest computed polymorph	0.0	meV per atom
# raw formation energy	-1.192	eV per atom
# Fermi-level density of states	0.1	states/eV/cell
data_Tc2OsO8
_symmetry_space_group_name_H-M 'P 1'
_symmetry_Int_Tables_number 1
_cell_length_a 5.7036
_cell_length_b 5.7036
_cell_length_c 6.4584
_cell_angle_alpha 90.00
_cell_angle_beta 90.00
_cell_angle_gamma 120.00
loop_
_symmetry_equiv_pos_as_xyz
'x,y,z'
loop_
_atom_site_label
_atom_site_type_symbol
_atom_site_fract_x
_atom_site_fract_y
_atom_site_fract_z
Tc1 Tc 0.3333 0.6667 0.2312
Tc2 Tc 0.6667 0.3333 0.7688
Os1 Os 0.0000 0.0000 0.5000
O1 O 0.1631 0.3262 0.3253
O2 O 0.1631 0.8369 0.3253
O3 O 0.3262 0.1631 0.6747
O4 O 0.3333 0.6667 0.9638
O5 O 0.6667 0.3333 0.0362
O6 O 0.6738 0.8369 0.3253
O7 O 0.8369 0.1631 0.6747
O8 O 0.8369 0.6738 0.6747

---

# Th2TlCdCo | Alexandria via LeMat-Bulk | PBE | relaxed
# E_form	-0.82	eV/f.u.
# Fermi-level density of states	7.7	states/eV/cell
data_Th2TlCdCo
_symmetry_space_group_name_H-M 'P 1'
_symmetry_Int_Tables_number 1
_cell_length_a 8.4556
_cell_length_b 3.8079
_cell_length_c 8.8156
_cell_angle_alpha 90.00
_cell_angle_beta 109.47
_cell_angle_gamma 90.00
loop_
_symmetry_equiv_pos_as_xyz
'x,y,z'
loop_
_atom_site_label
_atom_site_type_symbol
_atom_site_fract_x
_atom_site_fract_y
_atom_site_fract_z
Th1 Th 0.1149 0.2500 0.3885
Th2 Th 0.2096 0.2500 0.0169
Th3 Th 0.7904 0.7500 0.9831
Th4 Th 0.8851 0.7500 0.6115
Tl1 Tl 0.3168 0.7500 0.7424
Tl2 Tl 0.6832 0.2500 0.2576
Cd1 Cd 0.4554 0.7500 0.3583
Cd2 Cd 0.5446 0.2500 0.6417
Co1 Co 0.1340 0.7500 0.1964
Co2 Co 0.8660 0.2500 0.8036

---

# Sb3AsSe6 | Alexandria via LeMat-Bulk | PBE | relaxed
# raw formation energy	-0.206	eV per atom
# Fermi-level density of states	2.0	states/eV/cell
data_Sb3AsSe6
_symmetry_space_group_name_H-M 'P 1'
_symmetry_Int_Tables_number 1
_cell_length_a 12.1436
_cell_length_b 3.9753
_cell_length_c 12.8857
_cell_angle_alpha 90.00
_cell_angle_beta 107.36
_cell_angle_gamma 90.00
loop_
_symmetry_equiv_pos_as_xyz
'x,y,z'
loop_
_atom_site_label
_atom_site_type_symbol
_atom_site_fract_x
_atom_site_fract_y
_atom_site_fract_z
Sb1 Sb 0.0615 0.2500 0.3409
Sb2 Sb 0.3551 0.7500 0.4419
Sb3 Sb 0.4337 0.2500 0.8600
Sb4 Sb 0.5663 0.7500 0.1400
Sb5 Sb 0.6449 0.2500 0.5581
Sb6 Sb 0.9385 0.7500 0.6591
As1 As 0.1835 0.7500 0.9378
As2 As 0.8165 0.2500 0.0622
Se1 Se 0.0436 0.2500 0.8763
Se2 Se 0.1313 0.7500 0.4899
Se3 Se 0.2476 0.2500 0.2772
Se4 Se 0.2583 0.7500 0.7815
Se5 Se 0.3838 0.2500 0.0486
Se6 Se 0.4344 0.2500 0.6081
Se7 Se 0.5656 0.7500 0.3919
Se8 Se 0.6162 0.7500 0.9514
Se9 Se 0.7417 0.2500 0.2185
Se10 Se 0.7524 0.7500 0.7228
Se11 Se 0.8687 0.2500 0.5101
Se12 Se 0.9564 0.7500 0.1237

---

# TaAlIn2 | Alexandria via LeMat-Bulk | PBE | relaxed
# E_form	0.85	eV/f.u.
# Fermi-level density of states	2.9	states/eV/cell
data_TaAlIn2
_symmetry_space_group_name_H-M 'P 1'
_symmetry_Int_Tables_number 1
_cell_length_a 3.7013
_cell_length_b 3.7013
_cell_length_c 5.9336
_cell_angle_alpha 90.00
_cell_angle_beta 90.00
_cell_angle_gamma 90.00
loop_
_symmetry_equiv_pos_as_xyz
'x,y,z'
loop_
_atom_site_label
_atom_site_type_symbol
_atom_site_fract_x
_atom_site_fract_y
_atom_site_fract_z
Ta1 Ta 0.0000 0.0000 0.0000
Al1 Al 0.5000 0.5000 0.2048
In1 In 0.0000 0.0000 0.4813
In2 In 0.5000 0.5000 0.7483

---

- Fermi-level density of states of number 2 (Th2TlCdCo)?
  7.7 states/eV/cell

---

- Among the records above, which one has the lowest Fermi-level density of states?
  Tc2OsO8

---

- Number 3 is which compound?
  Sb3AsSe6

---

- Number 3 is which compound?
  Sb3AsSe6